Hf2Zr2Ga | GGA-PBE | optimized geometry

The energy above the most stable polymorph in this dataset is 0.073 eV per atom. The total energy comes out at -7.511 eV per atom. The size of the total moment comes out at 0.00 μB per formula unit.

The space group is I4/mmm (No. 139) and the conventional cell measures 3.977, 3.977 and 14.546 Å, with angles of 90.00, 90.00 and 90.00 degrees. The asymmetric unit holds Hf at (0.000, 0.000, 0.089), Zr at (0.000, 0.500, 0.250) and Ga at (0.000, 0.000, 0.500).